# 1
Here is a relaxed structure of La2TlIn3 from the Alexandria database. Energies are from GGA-PBE.

For the volume, the calculation gives 172.2 Å³/f.u. For the relative energy among the computed polymorphs, the calculation gives 0 meV per atom. The calculation puts the density of states at the Fermi level at 5.6 states/eV per cell. The calculated total energy is -3.85 eV/atom.

It has space group Pmm2 (No. 25), with a = 3.806 Å, b = 5.078 Å, c = 8.908 Å, α = 90.00°, β = 90.00° and γ = 90.00°. Symmetry generates all atoms from La at (0.000, 0.000, 0.000), La at (0.000, 0.500, 0.498), Tl at (0.500, 0.500, 0.834), In at (0.500, 0.000, 0.331), In at (0.500, 0.000, 0.662) and In at (0.500, 0.500, 0.169).

---

# 2
Here is a relaxed structure of NaDyTm from the Alexandria database. Energies are from GGA-PBE.

For the volume, the calculation gives 97.5 Å³/f.u. For the relative energy among the computed polymorphs, the calculation gives 84 meV per atom. The calculation puts the density of states at the Fermi level at 17.1 states/eV per cell. The calculated total energy is -3.30 eV/atom.

It has space group C2/m (No. 12), with a = 12.882 Å, b = 3.522 Å, c = 8.853 Å, α = 90.00°, β = 103.75° and γ = 90.00°. Symmetry generates all atoms from Na at (0.136, 0.000, 0.021), Dy at (0.194, 0.000, 0.627) and Tm at (0.029, 0.500, 0.327).

---

Copy entry 1 word for word.
Here is a relaxed structure of La2TlIn3 from the Alexandria database. Energies are from GGA-PBE.

For the volume, the calculation gives 172.2 Å³/f.u. For the relative energy among the computed polymorphs, the calculation gives 0 meV per atom. The calculation puts the density of states at the Fermi level at 5.6 states/eV per cell. The calculated total energy is -3.85 eV/atom.

It has space group Pmm2 (No. 25), with a = 3.806 Å, b = 5.078 Å, c = 8.908 Å, α = 90.00°, β = 90.00° and γ = 90.00°. Symmetry generates all atoms from La at (0.000, 0.000, 0.000), La at (0.000, 0.500, 0.498), Tl at (0.500, 0.500, 0.834), In at (0.500, 0.000, 0.331), In at (0.500, 0.000, 0.662) and In at (0.500, 0.500, 0.169).

---

calculated total energy of number 1 (La2TlIn3)? -3.85 eV/atom

---

Look up the calculated total energy of the second one. -3.30 eV/atom